Below is a relaxed structure of Ga2IrRu, with properties calculated at the PBE level. Values from VASP.

The structure in Quantum ESPRESSO input format:
```
&SYSTEM
  ibrav = 0, nat = 4, ntyp = 3
/
ATOMIC_SPECIES
Ru 101.07 Ru.upf
Ir 192.22 Ir.upf
Ga 69.72 Ga.upf
ATOMIC_POSITIONS angstrom
Ru 1.5340 0.0000 0.0000
Ir 1.5340 2.1396 2.1396
Ga 0.0000 0.0000 2.1396
Ga 0.0000 2.1396 0.0000
CELL_PARAMETERS angstrom
3.0679 0.0000 0.0000
0.0000 4.2791 0.0000
0.0000 0.0000 4.2791
```

Summary:
Formation energy from the elements (meV per atom): -397.0
ρ (kg/m³): 12791
Crystal system: tetragonal
V (Å³/cell): 56
Size of the total moment (μB per formula unit): 0.000